# AlTlSbAs2 | Alexandria | GGA-PBEsol | relaxed
data_AlTlSbAs2
_cell_length_a 5.203
_cell_length_b 5.203
_cell_length_c 5.685
_cell_angle_alpha 90.00
_cell_angle_beta 90.00
_cell_angle_gamma 90.00
_symmetry_space_group_name_H-M 'P 4/m m m'
_symmetry_Int_Tables_number 123
_symmetry_space_group_name_Hall '-P 4 2'
loop_
_atom_site_label
_atom_site_type_symbol
_atom_site_fract_x
_atom_site_fract_y
_atom_site_fract_z
Al1 Al 0.000 0.000 0.000
Tl1 Tl 0.500 0.500 0.500
Sb1 Sb 0.500 0.500 0.000
As1 As 0.000 0.500 0.500
# **ΔE_f (raw)**: 5.75 eV per formula unit
# **N(E_F)**: 4.6 states/eV per cell
# **Total magnetization**: 0.00 μB per cell
# **Uncorrected energy**: -3.149 eV/atom


# ScAlAs2 | Alexandria | GGA-PBEsol | relaxed
data_ScAlAs2
_cell_length_a 3.7564
_cell_length_b 3.7564
_cell_length_c 18.6382
_cell_angle_alpha 90.00
_cell_angle_beta 90.00
_cell_angle_gamma 120.00
_symmetry_space_group_name_H-M 'R -3 m'
_symmetry_Int_Tables_number 166
_symmetry_space_group_name_Hall '-R 3 2"'
loop_
_atom_site_label
_atom_site_type_symbol
_atom_site_fract_x
_atom_site_fract_y
_atom_site_fract_z
Sc1 Sc 0.0000 0.0000 0.0000
Al1 Al 0.0000 0.0000 0.5000
As1 As 0.0000 0.0000 0.2447
# **Energy of formation**: -734 meV/atom
# **N(E_F)**: 2.2 states/eV per cell
# **Total magnetization**: 0.00 μB per cell
# **Uncorrected energy**: -5.961 eV/atom


# ScAl2As2 | Alexandria | GGA-PBEsol | relaxed
data_ScAl2As2
_cell_length_a 4.883
_cell_length_b 4.883
_cell_length_c 8.199
_cell_angle_alpha 90.00
_cell_angle_beta 90.00
_cell_angle_gamma 90.00
_symmetry_space_group_name_H-M 'I 4/m m m'
_symmetry_Int_Tables_number 139
_symmetry_space_group_name_Hall '-I 4 2'
loop_
_atom_site_label
_atom_site_type_symbol
_atom_site_fract_x
_atom_site_fract_y
_atom_site_fract_z
Sc1 Sc 0.000 0.000 0.000
Al1 Al 0.000 0.000 0.347
As1 As 0.000 0.500 0.250
# **Energy of formation**: -266 meV/atom
# **N(E_F)**: 4.5 states/eV per cell
# **Total magnetization**: 0.00 μB per cell
# **Uncorrected energy**: -5.266 eV/atom


# ScAlAs2 | Alexandria | GGA-PBEsol | relaxed
data_ScAlAs2
_cell_length_a 3.852
_cell_length_b 4.669
_cell_length_c 8.572
_cell_angle_alpha 90.00
_cell_angle_beta 90.00
_cell_angle_gamma 90.00
_symmetry_space_group_name_H-M 'C m m 2'
_symmetry_Int_Tables_number 35
_symmetry_space_group_name_Hall 'C 2 -2'
loop_
_atom_site_label
_atom_site_type_symbol
_atom_site_fract_x
_atom_site_fract_y
_atom_site_fract_z
Sc1 Sc 0.000 0.000 0.000
Al1 Al 0.000 0.500 0.256
As1 As 0.000 0.000 0.459
As2 As 0.000 0.500 0.781
# **Energy of formation**: -216 meV/atom
# **N(E_F)**: 5.3 states/eV per cell
# **Total magnetization**: 0.00 μB per cell
# **Uncorrected energy**: -5.444 eV/atom


# Sc2AlAs | Alexandria | GGA-PBEsol | relaxed
data_Sc2AlAs
_cell_length_a 3.935
_cell_length_b 3.935
_cell_length_c 9.625
_cell_angle_alpha 90.00
_cell_angle_beta 90.00
_cell_angle_gamma 90.00
_symmetry_space_group_name_H-M 'I -4 m 2'
_symmetry_Int_Tables_number 119
_symmetry_space_group_name_Hall 'I -4 -2'
loop_
_atom_site_label
_atom_site_type_symbol
_atom_site_fract_x
_atom_site_fract_y
_atom_site_fract_z
Sc1 Sc 0.000 0.000 0.000
Sc2 Sc 0.000 0.500 0.250
Al1 Al 0.000 0.000 0.500
As1 As 0.000 0.500 0.750
# **Energy of formation**: -713 meV/atom
# **N(E_F)**: 5.0 states/eV per cell
# **Total magnetization**: 0.00 μB per cell
# **Uncorrected energy**: -6.315 eV/atom


# AlAs2Se | Alexandria | GGA-PBEsol | relaxed
data_AlAs2Se
_cell_length_a 3.727
_cell_length_b 5.450
_cell_length_c 7.820
_cell_angle_alpha 90.00
_cell_angle_beta 90.00
_cell_angle_gamma 90.00
_symmetry_space_group_name_H-M 'A m m 2'
_symmetry_Int_Tables_number 38
_symmetry_space_group_name_Hall 'A 2 -2'
loop_
_atom_site_label
_atom_site_type_symbol
_atom_site_fract_x
_atom_site_fract_y
_atom_site_fract_z
Al1 Al 0.000 0.000 0.000
As1 As 0.000 0.000 0.514
As2 As 0.500 0.000 0.736
Se1 Se 0.500 0.000 0.221
# **ΔE_f (raw)**: -0.66 eV per formula unit
# **ΔE to the lowest computed polymorph**: 0 meV/atom
# **N(E_F)**: 2.8 states/eV per cell
# **Total magnetization**: 0.00 μB per cell
# **Uncorrected energy**: -4.703 eV/atom


Copy entry 2 word for word.
# ScAlAs2 | Alexandria | GGA-PBEsol | relaxed
data_ScAlAs2
_cell_length_a 3.7564
_cell_length_b 3.7564
_cell_length_c 18.6382
_cell_angle_alpha 90.00
_cell_angle_beta 90.00
_cell_angle_gamma 120.00
_symmetry_space_group_name_H-M 'R -3 m'
_symmetry_Int_Tables_number 166
_symmetry_space_group_name_Hall '-R 3 2"'
loop_
_atom_site_label
_atom_site_type_symbol
_atom_site_fract_x
_atom_site_fract_y
_atom_site_fract_z
Sc1 Sc 0.0000 0.0000 0.0000
Al1 Al 0.0000 0.0000 0.5000
As1 As 0.0000 0.0000 0.2447
# **Energy of formation**: -734 meV/atom
# **N(E_F)**: 2.2 states/eV per cell
# **Total magnetization**: 0.00 μB per cell
# **Uncorrected energy**: -5.961 eV/atom